Entry from Alexandria via LeMat-Bulk: crystalline Cs2Tl2In at its relaxed geometry (PBE).

Values from the calculation:
As for the distance to the lowest polymorph of the same formula: 2.55 kcal/mol of atoms. The calculation puts the total energy at -1.831 eV per atom. As for the formation energy: 0.005 eV/atom. The space-group type is P4/mbm, No. 127.

```
10
Lattice="-0.037 -6.819 -4.700 7.895 1.389 -2.079 1.957 -3.514 5.083" Properties=species:S:1:pos:R:3 pbc="T T T"
In 3.929 -2.715 -3.389
In 0.000 0.000 0.000
Cs 2.374 -3.703 0.659
Cs 3.487 -6.913 -1.989
Cs 7.440 -5.241 -2.354
Cs 6.327 -2.030 0.293
Tl 6.795 -1.273 -3.496
Tl 1.063 -4.156 -3.283
Tl 2.856 -0.435 -1.400
Tl 5.002 -4.995 -5.378
```